A geometry-optimized Li4Co3Ni3Sn2O16 structure, computed with PBE with a Hubbard U.

Output
- ρ: 5.1 Mg/m³
- SG: Cm, No. 8
- Electronic total energy: -153.5 eV per cell

Unit cell a=5.8956 b=5.7477 c=9.5739 alpha=90.00 beta=92.11 gamma=119.18
Closest atoms and distances in Å follow each position.
Atoms (fractional coordinates):
Li 0.3122 0.6561 0.8953  4 O 1.92-2.09
Li 0.0037 0.0018 0.9936  4 O 1.81-1.90
Li 0.0147 0.0074 0.4951  4 O 1.81-1.91
Li 0.6693 0.3346 0.3913  3 O 1.91-1.99
Co 0.1725 0.8325 0.2157  6 O 1.85-1.96
Co 0.1725 0.3399 0.2157  6 O 1.85-1.96
Co 0.3377 0.1689 0.7149  6 O 1.90-1.91
Ni 0.6634 0.8317 0.2138  6 O 2.03-2.08
Ni 0.8285 0.6617 0.7146  6 O 1.91-2.13
Ni 0.8285 0.1668 0.7146  6 O 1.91-2.13
Sn 0.3440 0.6720 0.4917  6 O 2.06-2.17
Sn 0.6624 0.3312 0.9933  6 O 2.04-2.19
O 0.1787 0.8519 0.6038  1 Li 1.89, 1 Co 1.90, 1 Sn 2.06
O 0.0347 0.5174 0.3308  2 Co 1.95, 1 Li 1.99, 1 Sn 2.17
O 0.2983 0.6492 0.1132  2 Co 1.85, 1 Ni 2.08
O 0.0301 0.0151 0.3065  1 Li 1.81, 2 Co 1.86
O 0.0123 0.0061 0.8044  1 Li 1.81, 1 Co 1.91, 2 Ni 1.92
O 0.1787 0.3269 0.6038  1 Li 1.89, 1 Co 1.90, 1 Sn 2.06
O 0.4688 0.9679 0.3342  1 Co 1.86, 1 Li 1.91, 1 Ni 2.06
O 0.4688 0.5010 0.3342  1 Co 1.86, 1 Li 1.91, 1 Ni 2.06
O 0.3166 0.1583 0.1057  1 Li 1.90, 2 Co 1.96, 1 Sn 2.12
O 0.7022 0.8511 0.5962  1 Li 1.91, 2 Ni 1.94, 1 Sn 2.06
O 0.4947 0.4715 0.8384  1 Co 1.91, 1 Li 1.93, 1 Sn 2.12, 1 Ni 2.13
O 0.4947 0.0232 0.8384  1 Co 1.91, 1 Li 1.93, 1 Sn 2.12, 1 Ni 2.13
O 0.6527 0.3264 0.6159  1 Co 1.91, 2 Ni 1.91
O 0.8529 0.6878 0.0997  1 Li 1.89, 1 Co 1.95, 1 Ni 2.03, 1 Sn 2.04
O 0.9533 0.4767 0.8332  2 Ni 1.91, 1 Li 1.92
O 0.8529 0.1651 0.0997  1 Li 1.89, 1 Co 1.95, 1 Ni 2.03, 1 Sn 2.04